A geometry-optimized LiInFeF6 structure, computed with PBE with a Hubbard U.

Properties
energy = -45.0 eV per formula unit
total magnetization = 4.000 μB/f.u.
space group = P4_2nm, No. 102

Cell: 4.853 4.853 9.785 Å, 90.00 90.00 90.00°
Site moments in Bohr magnetons follow the coordinates.
Atoms (fractional coordinates):
F: 0.301 0.301 0.999  0.02
F: 0.199 0.801 0.499  0.02
F: 0.699 0.699 0.999  0.02
F: 0.801 0.199 0.499  0.02
F: 0.694 0.694 0.335  0.02
F: 0.800 0.200 0.168  0.02
F: 0.700 0.700 0.668  0.02
F: 0.300 0.300 0.668  0.02
F: 0.806 0.194 0.835  0.02
F: 0.194 0.806 0.835  0.02
F: 0.200 0.800 0.168  0.02
F: 0.306 0.306 0.335  0.02
Li: 0.500 0.500 0.497  0.00
Li: 0.000 0.000 0.997  0.00
Fe: 0.500 0.500 0.167  3.81
Fe: 0.000 0.000 0.667  3.81
In: 0.000 0.000 0.334  0.01
In: 0.500 0.500 0.834  0.01